Below is CaInH2 after structural relaxation, with properties calculated at the PBE level.

Results
space-group type = Fm-3m, No. 225
E above lowest polymorph = 0.646 eV/f.u.
magnetic moment = 0.000 μB per formula unit
electronic total energy = -2.7537 eV/atom

CIF file:
```
data_CaInH2
_chemical_formula_sum 'Ca1 In1 H2'
_cell_length_a 4.411
_cell_length_b 4.411
_cell_length_c 4.411
_cell_angle_alpha 60.00
_cell_angle_beta 60.00
_cell_angle_gamma 60.00
_symmetry_space_group_name_H-M 'P 1'
_symmetry_Int_Tables_number 1
_symmetry_space_group_name_Hall 'P 1'
loop_
_atom_site_label
_atom_site_type_symbol
_atom_site_fract_x
_atom_site_fract_y
_atom_site_fract_z
Ca1 Ca 0.000 0.000 0.000
In1 In 0.500 0.500 0.500
H1 H 0.250 0.250 0.250
H2 H 0.750 0.750 0.750
```